No. 1
{
  "formula": "Th3Al7Ir4",
  "functional": "PBE",
  "state": "relaxed",
  "lattice": [[4.131, 0.000, 1.042], [1.506, 7.539, 2.738], [0.030, 0.080, 8.589]],
  "species": ["Th", "Th", "Th", "Al", "Al", "Al", "Al", "Al", "Al", "Al", "Ir", "Ir", "Ir", "Ir"],
  "fractional_positions": [[0.307, 0.186, 0.201], [0.693, 0.814, 0.799], [0.000, 0.500, 0.500], [0.320, 0.839, 0.522], [0.493, 0.219, 0.794], [0.843, 0.389, 0.926], [0.680, 0.161, 0.478], [0.157, 0.611, 0.074], [0.000, 0.000, 0.000], [0.507, 0.781, 0.206], [0.660, 0.456, 0.223], [0.340, 0.544, 0.777], [0.887, 0.886, 0.341], [0.113, 0.114, 0.659]],
  "volume_a3_per_cell": 266,
  "total_magnetization_mub_per_cell": 0.00,
  "dos_at_fermi_per_ev_cell": 8.61,
  "total_energy_ev_per_cell": -95.68
}



No. 2
{
  "formula": "CrSb2Te",
  "functional": "PBE",
  "state": "relaxed",
  "lattice": [[9.830, 0.030, 0.018], [9.247, 3.336, 0.018], [9.247, 1.632, 2.910]],
  "species": ["Cr", "Sb", "Sb", "Te"],
  "fractional_positions": [[0.750, 0.750, 0.750], [0.020, 0.020, 0.020], [0.480, 0.480, 0.480], [0.250, 0.250, 0.250]],
  "volume_a3_per_cell": 94,
  "total_magnetization_mub_per_cell": 0.78,
  "dos_at_fermi_per_ev_cell": 2.12,
  "polymorph_energy_mev_per_atom": 197,
  "e_form_raw_mev_per_atom": 292
}



No. 3
{
  "formula": "Ac6Mg23Si",
  "functional": "PBE",
  "state": "relaxed",
  "lattice": [[9.136, 0.000, 5.275], [3.045, 8.614, 5.275], [0.000, 0.000, 10.549]],
  "species": ["Ac", "Ac", "Ac", "Ac", "Ac", "Ac", "Mg", "Mg", "Mg", "Mg", "Mg", "Mg", "Mg", "Mg", "Mg", "Mg", "Mg", "Mg", "Mg", "Mg", "Mg", "Mg", "Mg", "Mg", "Mg", "Mg", "Mg", "Mg", "Mg", "Si"],
  "fractional_positions": [[0.708, 0.708, 0.292], [0.292, 0.292, 0.708], [0.708, 0.292, 0.292], [0.292, 0.708, 0.708], [0.708, 0.292, 0.708], [0.292, 0.708, 0.292], [0.631, 0.123, 0.123], [0.369, 0.877, 0.877], [0.123, 0.123, 0.631], [0.123, 0.123, 0.123], [0.877, 0.877, 0.369], [0.877, 0.877, 0.877], [0.123, 0.631, 0.123], [0.877, 0.369, 0.877], [0.500, 0.500, 0.000], [0.000, 0.000, 0.500], [0.500, 0.000, 0.000], [0.000, 0.500, 0.500], [0.500, 0.000, 0.500], [0.000, 0.500, 0.000], [0.023, 0.326, 0.326], [0.977, 0.674, 0.674], [0.326, 0.326, 0.023], [0.326, 0.326, 0.326], [0.674, 0.674, 0.977], [0.674, 0.674, 0.674], [0.326, 0.023, 0.326], [0.674, 0.977, 0.674], [0.000, 0.000, 0.000], [0.500, 0.500, 0.500]],
  "volume_a3_per_cell": 830,
  "total_magnetization_mub_per_cell": 0.00,
  "dos_at_fermi_per_ev_cell": 18.82,
  "e_form_raw_mev_per_atom": -142
}



No. 4
{
  "formula": "CuSi2Pt",
  "functional": "PBE",
  "state": "relaxed",
  "lattice": [[-3.432, -1.579, 2.064], [-3.314, -1.592, -2.239], [-0.755, -4.238, -0.008]],
  "species": ["Si", "Si", "Cu", "Pt"],
  "fractional_positions": [[0.250, 0.250, 0.250], [0.750, 0.750, 0.750], [0.000, 0.000, 0.000], [0.500, 0.500, 0.500]],
  "volume_a3_per_cell": 56,
  "total_magnetization_mub_per_cell": 0.00,
  "dos_at_fermi_per_ev_cell": 2.33,
  "polymorph_energy_mev_per_atom": 204,
  "e_form_raw_mev_per_atom": -24
}



No. 5
{
  "formula": "NaGaF",
  "functional": "PBE",
  "state": "relaxed",
  "lattice": [[3.094, 0.000, 0.000], [0.000, 3.283, 0.000], [-1.521, -0.015, 9.809]],
  "species": ["Na", "Na", "Ga", "Ga", "F", "F"],
  "fractional_positions": [[0.913, 0.606, 0.153], [0.056, 0.107, 0.437], [0.693, 0.604, 0.705], [0.271, 0.105, 0.864], [0.381, 0.105, 0.087], [0.514, 0.607, 0.352]],
  "volume_a3_per_cell": 100,
  "total_magnetization_mub_per_cell": 0.00,
  "dos_at_fermi_per_ev_cell": 0.47,
  "polymorph_energy_mev_per_atom": 29,
  "e_form_raw_mev_per_atom": -1612
}



No. 6
{
  "formula": "CeThIrOs",
  "functional": "PBE",
  "state": "relaxed",
  "lattice": [[-4.881, -0.458, 0.913], [-2.889, -2.594, -3.129], [-1.872, -4.403, 1.405]],
  "species": ["Ir", "Os", "Ce", "Th"],
  "fractional_positions": [[0.000, 0.000, 0.000], [0.500, 0.500, 0.500], [0.250, 0.250, 0.250], [0.750, 0.750, 0.750]],
  "volume_a3_per_cell": 88,
  "total_magnetization_mub_per_cell": 0.21,
  "dos_at_fermi_per_ev_cell": 4.65,
  "total_energy_ev_per_cell": -35.01
}